Entry 1:
! Sm6Ir2PdBr3, relaxed, DFT PBE; values from VASP
&SYSTEM
  ibrav = 0, nat = 12, ntyp = 4
/
ATOMIC_SPECIES
Sm 150.36 Sm.upf
Ir 192.22 Ir.upf
Pd 106.42 Pd.upf
Br 79.90 Br.upf
CELL_PARAMETERS angstrom
3.581 -6.202 0.000
3.581 6.202 0.000
-2.387 0.000 7.730
ATOMIC_POSITIONS crystal
Sm 0.091 0.435 0.804
Sm 0.221 0.221 0.195
Sm 0.435 0.091 0.804
Sm 0.565 0.909 0.196
Sm 0.779 0.779 0.805
Sm 0.909 0.565 0.196
Ir 0.167 0.833 0.000
Ir 0.833 0.167 0.000
Pd 0.500 0.500 0.000
Br 0.000 0.000 0.500
Br 0.332 0.668 0.500
Br 0.668 0.332 0.500
! N(E_F)	5.20	states/eV/f.u.
! calculated total energy	-69.4	eV for the cell shown

=====

Entry 2:
! Zn2IrPdBr, relaxed, DFT PBE; values from VASP
&SYSTEM
  ibrav = 0, nat = 5, ntyp = 4
/
ATOMIC_SPECIES
Zn 65.41 Zn.upf
Ir 192.22 Ir.upf
Pd 106.42 Pd.upf
Br 79.90 Br.upf
CELL_PARAMETERS angstrom
4.874 0.000 0.000
0.000 4.874 0.000
0.000 0.000 4.925
ATOMIC_POSITIONS crystal
Zn 0.000 0.500 0.000
Zn 0.500 0.000 0.000
Ir 0.000 0.000 0.000
Pd 0.000 0.000 0.500
Br 0.500 0.500 0.500
! N(E_F)	5.40	states/eV/f.u.
! calculated total energy	-15.8	eV for the cell shown

=====

Please write out number 2 again, unchanged.
! Zn2IrPdBr, relaxed, DFT PBE; values from VASP
&SYSTEM
  ibrav = 0, nat = 5, ntyp = 4
/
ATOMIC_SPECIES
Zn 65.41 Zn.upf
Ir 192.22 Ir.upf
Pd 106.42 Pd.upf
Br 79.90 Br.upf
CELL_PARAMETERS angstrom
4.874 0.000 0.000
0.000 4.874 0.000
0.000 0.000 4.925
ATOMIC_POSITIONS crystal
Zn 0.000 0.500 0.000
Zn 0.500 0.000 0.000
Ir 0.000 0.000 0.000
Pd 0.000 0.000 0.500
Br 0.500 0.500 0.500
! N(E_F)	5.40	states/eV/f.u.
! calculated total energy	-15.8	eV for the cell shown